Version 1
# Be2MoPd2 | Alexandria | PBE | relaxed
data_Be2MoPd2
_symmetry_space_group_name_H-M 'I 4/m m m'
_symmetry_Int_Tables_number 139
_symmetry_space_group_name_Hall '-I 4 2'
_cell_length_a 3.677
_cell_length_b 3.677
_cell_length_c 9.513
_cell_angle_alpha 90.00
_cell_angle_beta 90.00
_cell_angle_gamma 90.00
loop_
_atom_site_label
_atom_site_type_symbol
_atom_site_fract_x
_atom_site_fract_y
_atom_site_fract_z
_atom_site_occupancy
Be1 Be 0.000 0.000 0.105 1
Mo1 Mo 0.000 0.000 0.500 1
Pd1 Pd 0.000 0.500 0.250 1
# DOS(E_F) = 0.810 states/eV/atom
# spin magnetization = 0.000 Bohr magnetons per cell

---

Version 2
# Be2MoPd2 | Alexandria | PBE | relaxed
data_Be2MoPd2
_symmetry_space_group_name_H-M 'P 4/m b m'
_symmetry_Int_Tables_number 127
_symmetry_space_group_name_Hall '-P 4 2ab'
_cell_length_a 6.743
_cell_length_b 6.743
_cell_length_c 2.726
_cell_angle_alpha 90.00
_cell_angle_beta 90.00
_cell_angle_gamma 90.00
loop_
_atom_site_label
_atom_site_type_symbol
_atom_site_fract_x
_atom_site_fract_y
_atom_site_fract_z
_atom_site_occupancy
Be1 Be 0.130 0.370 0.000 1
Mo1 Mo 0.000 0.000 0.000 1
Pd1 Pd 0.165 0.665 0.500 1
# DOS(E_F) = 0.555 states/eV/atom
# spin magnetization = 0.000 Bohr magnetons per cell

---

Calculated relative energies: version 1 28.2; version 2 0.0, given in kJ/mol of atoms

---

Version 1
# Be2MoPt | Alexandria | PBE | relaxed
data_Be2MoPt
_symmetry_space_group_name_H-M 'P 4 m m'
_symmetry_Int_Tables_number 99
_cell_length_a 2.761
_cell_length_b 2.761
_cell_length_c 6.186
_cell_angle_alpha 90.00
_cell_angle_beta 90.00
_cell_angle_gamma 90.00
loop_
_symmetry_equiv_pos_as_xyz
'x,y,z'
'-y,x,z'
'-x,-y,z'
'y,-x,z'
'-x,y,z'
'y,x,z'
'x,-y,z'
'-y,-x,z'
loop_
_atom_site_label
_atom_site_type_symbol
_atom_site_fract_x
_atom_site_fract_y
_atom_site_fract_z
_atom_site_occupancy
Be1 Be 0.000 0.000 0.000 1
Be2 Be 0.500 0.500 0.175 1
Mo1 Mo 0.000 0.000 0.437 1
Pt1 Pt 0.500 0.500 0.774 1
# DOS(E_F) = 0.366 states/eV/atom
# spin magnetization = 0.000 Bohr magnetons per cell

---

Version 2
# Be2MoPt | Alexandria | PBE | relaxed
data_Be2MoPt
_symmetry_space_group_name_H-M 'I m m 2'
_symmetry_Int_Tables_number 44
_cell_length_a 2.767
_cell_length_b 4.042
_cell_length_c 8.602
_cell_angle_alpha 90.00
_cell_angle_beta 90.00
_cell_angle_gamma 90.00
loop_
_symmetry_equiv_pos_as_xyz
'x,y,z'
'-x,-y,z'
'-x,y,z'
'x,-y,z'
'x+1/2,y+1/2,z+1/2'
'-x+1/2,-y+1/2,z+1/2'
'-x+1/2,y+1/2,z+1/2'
'x+1/2,-y+1/2,z+1/2'
loop_
_atom_site_label
_atom_site_type_symbol
_atom_site_fract_x
_atom_site_fract_y
_atom_site_fract_z
_atom_site_occupancy
Be1 Be 0.000 0.000 0.000 1
Be2 Be 0.000 0.500 0.284 1
Mo1 Mo 0.000 0.000 0.517 1
Pt1 Pt 0.000 0.500 0.742 1
# DOS(E_F) = 0.597 states/eV/atom
# spin magnetization = 0.000 Bohr magnetons per cell

---

Version 3
# Be2MoPt | Alexandria | PBE | relaxed
data_Be2MoPt
_symmetry_space_group_name_H-M 'P 1 2/m 1'
_symmetry_Int_Tables_number 10
_cell_length_a 2.699
_cell_length_b 3.669
_cell_length_c 5.051
_cell_angle_alpha 90.00
_cell_angle_beta 90.30
_cell_angle_gamma 90.00
loop_
_symmetry_equiv_pos_as_xyz
'x,y,z'
'-x,-y,-z'
'-x,y,-z'
'x,-y,z'
loop_
_atom_site_label
_atom_site_type_symbol
_atom_site_fract_x
_atom_site_fract_y
_atom_site_fract_z
_atom_site_occupancy
Be1 Be 0.008 0.000 0.223 1
Mo1 Mo 0.500 0.500 0.000 1
Pt1 Pt 0.000 0.500 0.500 1
# DOS(E_F) = 0.372 states/eV/atom
# spin magnetization = 0.000 Bohr magnetons per cell

---

Version 4
# Be2MoPt | Alexandria | PBE | relaxed
data_Be2MoPt
_symmetry_space_group_name_H-M 'P m m m'
_symmetry_Int_Tables_number 47
_cell_length_a 2.695
_cell_length_b 4.175
_cell_length_c 4.194
_cell_angle_alpha 90.00
_cell_angle_beta 90.00
_cell_angle_gamma 90.00
loop_
_symmetry_equiv_pos_as_xyz
'x,y,z'
'-x,-y,-z'
'-x,-y,z'
'x,y,-z'
'x,-y,-z'
'-x,y,z'
'-x,y,-z'
'x,-y,z'
loop_
_atom_site_label
_atom_site_type_symbol
_atom_site_fract_x
_atom_site_fract_y
_atom_site_fract_z
_atom_site_occupancy
Be1 Be 0.000 0.000 0.000 1
Be2 Be 0.000 0.500 0.500 1
Mo1 Mo 0.500 0.000 0.500 1
Pt1 Pt 0.500 0.500 0.000 1
# DOS(E_F) = 0.351 states/eV/atom
# spin magnetization = 0.000 Bohr magnetons per cell

---

Calculated relative energies: version 1 0.0; version 2 13.8; version 3 9.6; version 4 3.8, given in kJ/mol of atoms

---

Version 1
# BeMo3Pt | Alexandria | PBE | relaxed
data_BeMo3Pt
_symmetry_space_group_name_H-M 'P m -3 m'
_symmetry_Int_Tables_number 221
_symmetry_space_group_name_Hall '-P 4 2 3'
_cell_length_a 4.199
_cell_length_b 4.199
_cell_length_c 4.199
_cell_angle_alpha 90.00
_cell_angle_beta 90.00
_cell_angle_gamma 90.00
loop_
_atom_site_label
_atom_site_type_symbol
_atom_site_fract_x
_atom_site_fract_y
_atom_site_fract_z
_atom_site_occupancy
Be1 Be 0.000 0.000 0.000 1
Mo1 Mo 0.000 0.000 0.500 1
Pt1 Pt 0.500 0.500 0.500 1
# DOS(E_F) = 0.832 states/eV/atom
# spin magnetization = 0.000 Bohr magnetons per cell

---

Version 2
# BeMo3Pt | Alexandria | PBE | relaxed
data_BeMo3Pt
_symmetry_space_group_name_H-M 'P m -3 m'
_symmetry_Int_Tables_number 221
_symmetry_space_group_name_Hall '-P 4 2 3'
_cell_length_a 4.767
_cell_length_b 4.767
_cell_length_c 4.767
_cell_angle_alpha 90.00
_cell_angle_beta 90.00
_cell_angle_gamma 90.00
loop_
_atom_site_label
_atom_site_type_symbol
_atom_site_fract_x
_atom_site_fract_y
_atom_site_fract_z
_atom_site_occupancy
Be1 Be 0.000 0.000 0.000 1
Mo1 Mo 0.000 0.500 0.500 1
Pt1 Pt 0.500 0.500 0.500 1
# DOS(E_F) = 1.146 states/eV/atom
# spin magnetization = 0.587 Bohr magnetons per cell

---

Calculated relative energies: version 1 0.0; version 2 153.0, given in kJ/mol of atoms

---

Version 1
# Be3MoPt | Alexandria | PBE | relaxed
data_Be3MoPt
_symmetry_space_group_name_H-M 'P m -3 m'
_symmetry_Int_Tables_number 221
_symmetry_space_group_name_Hall '-P 4 2 3'
_cell_length_a 4.139
_cell_length_b 4.139
_cell_length_c 4.139
_cell_angle_alpha 90.00
_cell_angle_beta 90.00
_cell_angle_gamma 90.00
loop_
_atom_site_label
_atom_site_type_symbol
_atom_site_fract_x
_atom_site_fract_y
_atom_site_fract_z
_atom_site_occupancy
Be1 Be 0.000 0.000 0.500 1
Mo1 Mo 0.500 0.500 0.500 1
Pt1 Pt 0.000 0.000 0.000 1
# DOS(E_F) = 0.328 states/eV/atom
# spin magnetization = 2.167 Bohr magnetons per cell

---

Version 2
# Be3MoPt | Alexandria | PBE | relaxed
data_Be3MoPt
_symmetry_space_group_name_H-M 'P m -3 m'
_symmetry_Int_Tables_number 221
_symmetry_space_group_name_Hall '-P 4 2 3'
_cell_length_a 4.133
_cell_length_b 4.133
_cell_length_c 4.133
_cell_angle_alpha 90.00
_cell_angle_beta 90.00
_cell_angle_gamma 90.00
loop_
_atom_site_label
_atom_site_type_symbol
_atom_site_fract_x
_atom_site_fract_y
_atom_site_fract_z
_atom_site_occupancy
Be1 Be 0.000 0.000 0.500 1
Mo1 Mo 0.000 0.000 0.000 1
Pt1 Pt 0.500 0.500 0.500 1
# DOS(E_F) = 0.010 states/eV/atom
# spin magnetization = 0.000 Bohr magnetons per cell

---

Calculated relative energies: version 1 0.0; version 2 72.2, given in kJ/mol of atoms

---

Version 1
# RbBe3Mo | Alexandria | PBE | relaxed
data_RbBe3Mo
_symmetry_space_group_name_H-M 'P m -3 m'
_symmetry_Int_Tables_number 221
_symmetry_space_group_name_Hall '-P 4 2 3'
_cell_length_a 4.712
_cell_length_b 4.712
_cell_length_c 4.712
_cell_angle_alpha 90.00
_cell_angle_beta 90.00
_cell_angle_gamma 90.00
loop_
_atom_site_label
_atom_site_type_symbol
_atom_site_fract_x
_atom_site_fract_y
_atom_site_fract_z
_atom_site_occupancy
Rb1 Rb 0.000 0.000 0.000 1
Be1 Be 0.000 0.500 0.500 1
Mo1 Mo 0.500 0.500 0.500 1
# DOS(E_F) = 1.063 states/eV/atom
# spin magnetization = 0.001 Bohr magnetons per cell

---

Version 2
# RbBe3Mo | Alexandria | PBE | relaxed
data_RbBe3Mo
_symmetry_space_group_name_H-M 'P m -3 m'
_symmetry_Int_Tables_number 221
_symmetry_space_group_name_Hall '-P 4 2 3'
_cell_length_a 4.407
_cell_length_b 4.407
_cell_length_c 4.407
_cell_angle_alpha 90.00
_cell_angle_beta 90.00
_cell_angle_gamma 90.00
loop_
_atom_site_label
_atom_site_type_symbol
_atom_site_fract_x
_atom_site_fract_y
_atom_site_fract_z
_atom_site_occupancy
Rb1 Rb 0.000 0.000 0.000 1
Be1 Be 0.000 0.000 0.500 1
Mo1 Mo 0.500 0.500 0.500 1
# DOS(E_F) = 0.924 states/eV/atom
# spin magnetization = 0.571 Bohr magnetons per cell

---

Calculated relative energies: version 1 0.0; version 2 153.3, given in kJ/mol of atoms

---

Version 1
# Rb2TaBeMo | Alexandria | PBE | relaxed
data_Rb2TaBeMo
_symmetry_space_group_name_H-M 'P 4/m m m'
_symmetry_Int_Tables_number 123
_symmetry_space_group_name_Hall '-P 4 2'
_cell_length_a 5.376
_cell_length_b 5.376
_cell_length_c 4.899
_cell_angle_alpha 90.00
_cell_angle_beta 90.00
_cell_angle_gamma 90.00
loop_
_atom_site_label
_atom_site_type_symbol
_atom_site_fract_x
_atom_site_fract_y
_atom_site_fract_z
_atom_site_occupancy
Rb1 Rb 0.000 0.500 0.000 1
Ta1 Ta 0.000 0.000 0.500 1
Be1 Be 0.500 0.500 0.000 1
Mo1 Mo 0.500 0.500 0.500 1
# DOS(E_F) = 2.046 states/eV/atom
# spin magnetization = 0.125 Bohr magnetons per cell

---

Version 2
# Rb2TaBeMo | Alexandria | PBE | relaxed
data_Rb2TaBeMo
_symmetry_space_group_name_H-M 'P 4/m m m'
_symmetry_Int_Tables_number 123
_symmetry_space_group_name_Hall '-P 4 2'
_cell_length_a 6.084
_cell_length_b 6.084
_cell_length_c 4.966
_cell_angle_alpha 90.00
_cell_angle_beta 90.00
_cell_angle_gamma 90.00
loop_
_atom_site_label
_atom_site_type_symbol
_atom_site_fract_x
_atom_site_fract_y
_atom_site_fract_z
_atom_site_occupancy
Rb1 Rb 0.000 0.500 0.000 1
Ta1 Ta 0.000 0.000 0.500 1
Be1 Be 0.000 0.000 0.000 1
Mo1 Mo 0.500 0.500 0.500 1
# DOS(E_F) = 1.348 states/eV/atom
# spin magnetization = 1.445 Bohr magnetons per cell

---

Calculated relative energies: version 1 32.1; version 2 0.0, given in kJ/mol of atoms